No. 1
Below is an optimized crystal structure of InNi2Se, with properties calculated at the GGA-PBE level.

**Fermi-level density of states**: 6.20 states/eV/cell
**Polymorph energy (0 for the lowest one)**: 0.138 eV per atom
**V**: 15.94 Å³ per atom
**Crystal system**: trigonal
**Symmetry**: R-3m (166)
**ΔE_f (raw)**: 47.9 meV per atom

Cell lengths 3.1536, 3.1536, 22.2066 Å; angles 90.00, 90.00, 120.00 degrees
Sites, in units of the cell vectors:
In (0.0000, 0.0000, 0.0000)
In (0.3333, 0.6667, 0.6667)
In (0.6667, 0.3333, 0.3333)
Ni (0.0000, 0.0000, 0.2417)
Ni (0.0000, 0.0000, 0.7583)
Ni (0.3333, 0.6667, 0.4249)
Ni (0.3333, 0.6667, 0.9084)
Ni (0.6667, 0.3333, 0.0916)
Ni (0.6667, 0.3333, 0.5751)
Se (0.0000, 0.0000, 0.5000)
Se (0.3333, 0.6667, 0.1667)
Se (0.6667, 0.3333, 0.8333)


No. 2
Below is an optimized crystal structure of In2NiSnSe, with properties calculated at the GGA-PBE level.

**Fermi-level density of states**: 0.98 states/eV/cell
**V**: 24.47 Å³ per atom
**Crystal system**: tetragonal
**Symmetry**: P4/mmm (123)
**ΔE_f (raw)**: -156.7 meV per atom

Cell lengths 4.9875, 4.9875, 4.9178 Å; angles 90.00, 90.00, 90.00 degrees
Sites, in units of the cell vectors:
In (0.0000, 0.5000, 0.0000)
In (0.5000, 0.0000, 0.0000)
Ni (0.0000, 0.0000, 0.0000)
Sn (0.0000, 0.0000, 0.5000)
Se (0.5000, 0.5000, 0.5000)


No. 3
Below is an optimized crystal structure of TiInNiSe3, with properties calculated at the GGA-PBE level.

**Fermi-level density of states**: 7.63 states/eV/cell
**V**: 22.21 Å³ per atom
**Crystal system**: monoclinic
**Symmetry**: P2_1/m (11)
**ΔE_f (raw)**: -702.6 meV per atom

Cell lengths 8.4634, 3.6642, 9.3145 Å; angles 90.00, 112.71, 90.00 degrees
Sites, in units of the cell vectors:
Ti (0.2036, 0.2500, 0.1735)
Ti (0.7964, 0.7500, 0.8265)
In (0.2584, 0.7500, 0.7558)
In (0.7416, 0.2500, 0.2442)
Ni (0.4132, 0.7500, 0.3989)
Ni (0.5868, 0.2500, 0.6011)
Se (0.0353, 0.2500, 0.8633)
Se (0.2768, 0.2500, 0.4632)
Se (0.3985, 0.7500, 0.1390)
Se (0.6015, 0.2500, 0.8610)
Se (0.7232, 0.7500, 0.5368)
Se (0.9647, 0.7500, 0.1367)


No. 4
Below is an optimized crystal structure of TlInNi2Se, with properties calculated at the GGA-PBE level.

**Fermi-level density of states**: 3.23 states/eV/cell
**V**: 26.45 Å³ per atom
**Crystal system**: tetragonal
**Symmetry**: P4/mmm (123)
**ΔE_f (raw)**: 1050.4 meV per atom

Cell lengths 4.8298, 4.8298, 5.6692 Å; angles 90.00, 90.00, 90.00 degrees
Sites, in units of the cell vectors:
Tl (0.0000, 0.0000, 0.0000)
In (0.0000, 0.0000, 0.5000)
Ni (0.0000, 0.5000, 0.0000)
Ni (0.5000, 0.0000, 0.0000)
Se (0.5000, 0.5000, 0.5000)


No. 5
Below is an optimized crystal structure of U2In3NiSe6, with properties calculated at the GGA-PBE level.

**Fermi-level density of states**: 16.74 states/eV/cell
**V**: 26.46 Å³ per atom
**Crystal system**: monoclinic
**Symmetry**: C2/m (12)
**ΔE_f (raw)**: -602.0 meV per atom

Cell lengths 6.7617, 6.7617, 8.2783 Å; angles 98.48, 98.48, 118.78 degrees
Sites, in units of the cell vectors:
U (0.1618, 0.8382, 0.0000)
U (0.8382, 0.1618, 0.0000)
In (0.0000, 0.0000, 0.5000)
In (0.3192, 0.6808, 0.5000)
In (0.6808, 0.3192, 0.5000)
Ni (0.5000, 0.5000, 0.0000)
Se (0.1291, 0.4360, 0.8080)
Se (0.2433, 0.2433, 0.2275)
Se (0.4360, 0.1291, 0.8080)
Se (0.5640, 0.8709, 0.1920)
Se (0.7567, 0.7567, 0.7725)
Se (0.8709, 0.5640, 0.1920)


No. 6
Below is an optimized crystal structure of ZnInNiSe2, with properties calculated at the GGA-PBE level.

**Fermi-level density of states**: 3.69 states/eV/cell
**V**: 22.79 Å³ per atom
**Crystal system**: tetragonal
**Symmetry**: P4/mmm (123)
**ΔE_f (raw)**: 197.9 meV per atom

Cell lengths 4.7804, 4.7804, 4.9856 Å; angles 90.00, 90.00, 90.00 degrees
Sites, in units of the cell vectors:
Zn (0.0000, 0.0000, 0.0000)
In (0.5000, 0.5000, 0.0000)
Ni (0.5000, 0.5000, 0.5000)
Se (0.0000, 0.5000, 0.5000)
Se (0.5000, 0.0000, 0.5000)


No. 7
Below is an optimized crystal structure of InSi2Ni, with properties calculated at the GGA-PBE level.

**Fermi-level density of states**: 3.18 states/eV/cell
**V**: 16.40 Å³ per atom
**Crystal system**: orthorhombic
**Symmetry**: Imm2 (44)
**ΔE_f (raw)**: 304.4 meV per atom

Cell lengths 3.4831, 4.8580, 7.7531 Å; angles 90.00, 90.00, 90.00 degrees
Sites, in units of the cell vectors:
In (0.0000, 0.0000, 0.0000)
In (0.5000, 0.5000, 0.5000)
Si (0.0000, 0.0000, 0.4802)
Si (0.0000, 0.5000, 0.2152)
Si (0.5000, 0.0000, 0.7152)
Si (0.5000, 0.5000, 0.9802)
Ni (0.0000, 0.5000, 0.7785)
Ni (0.5000, 0.0000, 0.2785)


No. 8
Below is an optimized crystal structure of In3SiNi, with properties calculated at the GGA-PBE level.

**Fermi-level density of states**: 3.59 states/eV/cell
**Polymorph energy (0 for the lowest one)**: 0.000 eV per atom
**V**: 23.80 Å³ per atom
**Crystal system**: cubic
**Symmetry**: Pm-3m (221)
**ΔE_f (raw)**: 353.8 meV per atom

Cell lengths 4.9184, 4.9184, 4.9184 Å; angles 90.00, 90.00, 90.00 degrees
Sites, in units of the cell vectors:
In (0.0000, 0.0000, 0.5000)
In (0.0000, 0.5000, 0.0000)
In (0.5000, 0.0000, 0.0000)
Si (0.5000, 0.5000, 0.5000)
Ni (0.0000, 0.0000, 0.0000)


No. 9
Below is an optimized crystal structure of InSi2Ni, with properties calculated at the GGA-PBE level.

**Fermi-level density of states**: 3.28 states/eV/cell
**V**: 16.55 Å³ per atom
**Crystal system**: monoclinic
**Symmetry**: C2/m (12)
**ΔE_f (raw)**: 309.3 meV per atom

Cell lengths 5.2250, 9.6627, 3.6920 Å; angles 90.00, 134.74, 90.00 degrees
Sites, in units of the cell vectors:
In (0.0000, 0.0000, 0.0000)
In (0.5000, 0.5000, 0.0000)
Si (0.2500, 0.2500, 0.0000)
Si (0.2500, 0.7500, 0.0000)
Si (0.7500, 0.2500, 0.0000)
Si (0.7500, 0.7500, 0.0000)
Ni (0.0000, 0.5000, 0.0000)
Ni (0.5000, 0.0000, 0.0000)


No. 10
Below is an optimized crystal structure of InSi2Ni, with properties calculated at the GGA-PBE level.

**Fermi-level density of states**: 1.55 states/eV/cell
**V**: 17.08 Å³ per atom
**Crystal system**: monoclinic
**Symmetry**: Pm (6)
**ΔE_f (raw)**: 50.8 meV per atom

Cell lengths 3.4737, 3.5055, 5.8715 Å; angles 90.00, 107.12, 90.00 degrees
Sites, in units of the cell vectors:
In (0.0000, 0.0000, 0.0000)
Si (0.2557, 0.5000, 0.5143)
Si (0.7539, 0.0000, 0.5128)
Ni (0.6130, 0.5000, 0.2267)


No. 11
Below is an optimized crystal structure of InSi2Ni, with properties calculated at the GGA-PBE level.

**Fermi-level density of states**: 3.47 states/eV/cell
**V**: 16.51 Å³ per atom
**Crystal system**: orthorhombic
**Symmetry**: Cmmm (65)
**ΔE_f (raw)**: 382.5 meV per atom

Cell lengths 5.1148, 7.4224, 3.4795 Å; angles 90.00, 90.00, 90.00 degrees
Sites, in units of the cell vectors:
In (0.0000, 0.0000, 0.0000)
In (0.5000, 0.5000, 0.0000)
Si (0.2500, 0.2500, 0.5000)
Si (0.2500, 0.7500, 0.5000)
Si (0.7500, 0.2500, 0.5000)
Si (0.7500, 0.7500, 0.5000)
Ni (0.0000, 0.5000, 0.0000)
Ni (0.5000, 0.0000, 0.0000)


No. 12
Below is an optimized crystal structure of InSi2Ni, with properties calculated at the GGA-PBE level.

**Fermi-level density of states**: 8.13 states/eV/cell
**V**: 17.92 Å³ per atom
**Crystal system**: tetragonal
**Symmetry**: I-42d (122)
**ΔE_f (raw)**: 83.8 meV per atom

Cell lengths 4.3023, 4.3023, 15.4857 Å; angles 90.00, 90.00, 90.00 degrees
Sites, in units of the cell vectors:
In (0.0000, 0.0000, 0.0000)
In (0.0000, 0.5000, 0.2500)
In (0.5000, 0.0000, 0.7500)
In (0.5000, 0.5000, 0.5000)
Si (0.1439, 0.2500, 0.6250)
Si (0.2500, 0.6439, 0.8750)
Si (0.2500, 0.8561, 0.3750)
Si (0.3561, 0.2500, 0.1250)
Si (0.6439, 0.7500, 0.1250)
Si (0.7500, 0.1439, 0.3750)
Si (0.7500, 0.3561, 0.8750)
Si (0.8561, 0.7500, 0.6250)
Ni (0.0000, 0.0000, 0.5000)
Ni (0.0000, 0.5000, 0.7500)
Ni (0.5000, 0.0000, 0.2500)
Ni (0.5000, 0.5000, 0.0000)


No. 13
Below is an optimized crystal structure of In2Si2Ni, with properties calculated at the GGA-PBE level.

**Fermi-level density of states**: 3.86 states/eV/cell
**V**: 18.61 Å³ per atom
**Crystal system**: tetragonal
**Symmetry**: P4/mbm (127)
**ΔE_f (raw)**: 99.7 meV per atom

Cell lengths 6.0936, 6.0936, 5.0127 Å; angles 90.00, 90.00, 90.00 degrees
Sites, in units of the cell vectors:
In (0.1829, 0.3171, 0.0000)
In (0.3171, 0.8171, 0.0000)
In (0.6829, 0.1829, 0.0000)
In (0.8171, 0.6829, 0.0000)
Si (0.1428, 0.6428, 0.5000)
Si (0.3572, 0.1428, 0.5000)
Si (0.6428, 0.8572, 0.5000)
Si (0.8572, 0.3572, 0.5000)
Ni (0.0000, 0.0000, 0.5000)
Ni (0.5000, 0.5000, 0.5000)


No. 14
Below is an optimized crystal structure of InSi2Ni, with properties calculated at the GGA-PBE level.

**Fermi-level density of states**: 2.06 states/eV/cell
**V**: 16.29 Å³ per atom
**Crystal system**: tetragonal
**Symmetry**: P4/mmm (123)
**ΔE_f (raw)**: 359.6 meV per atom

Cell lengths 3.7000, 3.7000, 4.7585 Å; angles 90.00, 90.00, 90.00 degrees
Sites, in units of the cell vectors:
In (0.0000, 0.0000, 0.0000)
Si (0.0000, 0.5000, 0.5000)
Si (0.5000, 0.0000, 0.5000)
Ni (0.5000, 0.5000, 0.0000)


No. 15
Below is an optimized crystal structure of InSiNi6, with properties calculated at the GGA-PBE level.

**Fermi-level density of states**: 8.60 states/eV/cell
**Polymorph energy (0 for the lowest one)**: 0.000 eV per atom
**V**: 11.92 Å³ per atom
**Crystal system**: tetragonal
**Symmetry**: P4/mmm (123)
**ΔE_f (raw)**: -247.7 meV per atom

Cell lengths 3.6508, 3.6508, 7.1568 Å; angles 90.00, 90.00, 90.00 degrees
Sites, in units of the cell vectors:
In (0.0000, 0.0000, 0.0000)
Si (0.0000, 0.0000, 0.5000)
Ni (0.0000, 0.5000, 0.2741)
Ni (0.0000, 0.5000, 0.7259)
Ni (0.5000, 0.0000, 0.2741)
Ni (0.5000, 0.0000, 0.7259)
Ni (0.5000, 0.5000, 0.0000)
Ni (0.5000, 0.5000, 0.5000)


No. 16
Below is an optimized crystal structure of InSi2Ni7, with properties calculated at the GGA-PBE level.

**Fermi-level density of states**: 4.06 states/eV/cell
**V**: 12.72 Å³ per atom
**Crystal system**: tetragonal
**Symmetry**: I4/mmm (139)
**ΔE_f (raw)**: -287.4 meV per atom

Cell lengths 9.4320, 9.4320, 9.4320 Å; angles 157.08, 157.08, 32.64 degrees
Sites, in units of the cell vectors:
In (0.0000, 0.0000, 0.0000)
Si (0.3252, 0.3252, 0.0000)
Si (0.6748, 0.6748, 0.0000)
Ni (0.1043, 0.6043, 0.5000)
Ni (0.2500, 0.7500, 0.5000)
Ni (0.3957, 0.8957, 0.5000)
Ni (0.5000, 0.5000, 0.0000)
Ni (0.6043, 0.1043, 0.5000)
Ni (0.7500, 0.2500, 0.5000)
Ni (0.8957, 0.3957, 0.5000)


No. 17
Below is an optimized crystal structure of InSiNi4, with properties calculated at the GGA-PBE level.

**Fermi-level density of states**: 6.87 states/eV/cell
**V**: 13.04 Å³ per atom
**Crystal system**: cubic
**Symmetry**: F-43m (216)
**ΔE_f (raw)**: 36.1 meV per atom

Cell lengths 4.8011, 4.8011, 4.8011 Å; angles 60.00, 60.00, 60.00 degrees
Sites, in units of the cell vectors:
In (0.0000, 0.0000, 0.0000)
Si (0.2500, 0.2500, 0.2500)
Ni (0.1264, 0.6245, 0.6245)
Ni (0.6245, 0.1264, 0.6245)
Ni (0.6245, 0.6245, 0.1264)
Ni (0.6245, 0.6245, 0.6245)


No. 18
Below is an optimized crystal structure of InSi2Ni, with properties calculated at the GGA-PBE level.

**Fermi-level density of states**: 3.51 states/eV/cell
**V**: 17.17 Å³ per atom
**Crystal system**: monoclinic
**Symmetry**: C2/m (12)
**ΔE_f (raw)**: -116.4 meV per atom

Cell lengths 6.6883, 3.8643, 5.3149 Å; angles 90.00, 90.13, 90.00 degrees
Sites, in units of the cell vectors:
In (0.0000, 0.0000, 0.0000)
In (0.5000, 0.5000, 0.0000)
Si (0.1674, 0.5000, 0.6401)
Si (0.3326, 0.0000, 0.3599)
Si (0.6674, 0.0000, 0.6401)
Si (0.8326, 0.5000, 0.3599)
Ni (0.0000, 0.0000, 0.5000)
Ni (0.5000, 0.5000, 0.5000)


No. 19
Below is an optimized crystal structure of In3SiNi, with properties calculated at the GGA-PBE level.

**Fermi-level density of states**: 3.53 states/eV/cell
**Polymorph energy (0 for the lowest one)**: 0.501 eV per atom
**V**: 27.37 Å³ per atom
**Crystal system**: cubic
**Symmetry**: Pm-3m (221)
**ΔE_f (raw)**: 854.6 meV per atom

Cell lengths 5.1534, 5.1534, 5.1534 Å; angles 90.00, 90.00, 90.00 degrees
Sites, in units of the cell vectors:
In (0.0000, 0.0000, 0.5000)
In (0.0000, 0.5000, 0.0000)
In (0.5000, 0.0000, 0.0000)
Si (0.0000, 0.0000, 0.0000)
Ni (0.5000, 0.5000, 0.5000)


No. 20
Below is an optimized crystal structure of InSiNi6, with properties calculated at the GGA-PBE level.

**Fermi-level density of states**: 36.97 states/eV/cell
**Polymorph energy (0 for the lowest one)**: 0.021 eV per atom
**V**: 11.94 Å³ per atom
**Crystal system**: orthorhombic
**Symmetry**: Cmmm (65)
**ΔE_f (raw)**: -226.9 meV per atom

Cell lengths 6.2905, 6.2905, 10.3343 Å; angles 90.00, 90.00, 110.91 degrees
Sites, in units of the cell vectors:
In (0.0000, 0.0000, 0.2490)
In (0.0000, 0.0000, 0.7510)
In (0.2405, 0.7595, 0.5000)
In (0.7595, 0.2405, 0.5000)
Si (0.2410, 0.7590, 0.0000)
Si (0.5000, 0.5000, 0.2442)
Si (0.5000, 0.5000, 0.7558)
Si (0.7590, 0.2410, 0.0000)
Ni (0.0000, 0.0000, 0.0000)
Ni (0.0000, 0.0000, 0.5000)
Ni (0.1332, 0.3886, 0.1176)
Ni (0.1332, 0.3886, 0.8824)
Ni (0.1469, 0.3907, 0.3647)
Ni (0.1469, 0.3907, 0.6353)
Ni (0.2519, 0.7481, 0.2346)
Ni (0.2519, 0.7481, 0.7654)
Ni (0.3886, 0.1332, 0.1176)
Ni (0.3886, 0.1332, 0.8824)
Ni (0.3907, 0.1469, 0.3647)
Ni (0.3907, 0.1469, 0.6353)
Ni (0.5000, 0.5000, 0.0000)
Ni (0.5000, 0.5000, 0.5000)
Ni (0.6093, 0.8531, 0.3647)
Ni (0.6093, 0.8531, 0.6353)
Ni (0.6114, 0.8668, 0.1176)
Ni (0.6114, 0.8668, 0.8824)
Ni (0.7481, 0.2519, 0.2346)
Ni (0.7481, 0.2519, 0.7654)
Ni (0.8531, 0.6093, 0.3647)
Ni (0.8531, 0.6093, 0.6353)
Ni (0.8668, 0.6114, 0.1176)
Ni (0.8668, 0.6114, 0.8824)